A crystal of Mn4CrP relaxed with PBEsol. Source: Alexandria via LeMat-Bulk, functional meta-GGA SCAN.

For the magnetization, the calculation gives 6.91 μB/cell. The total energy is -399.93 eV/cell. The calculated density comes out at 7.72 g/cm³. The energy of formation comes out at 303 meV per atom.

The structure belongs to space group F-43m (No. 216); the cell edges are 6.387, 6.387 and 6.387 Å and the angles 90.00°, 90.00° and 90.00°. The asymmetric unit holds Mn at (0.124, 0.124, 0.376), Cr at (0.000, 0.000, 0.000) and P at (0.250, 0.250, 0.750).

A crystal of MnCrP2S relaxed with PBEsol. Source: Alexandria via LeMat-Bulk, functional meta-GGA SCAN.

The raw formation energy is 351 meV/atom. For the magnetization, the calculation gives 5.40 μB/cell. The total energy is -65.31 eV/cell. The calculated density comes out at 3.89 g/cm³.

The structure belongs to space group P4/mmm (No. 123); the cell edges are 4.133, 4.133 and 5.020 Å and the angles 90.00°, 90.00° and 90.00°. The asymmetric unit holds Mn at (0.000, 0.000, 0.000), Cr at (0.500, 0.500, 0.500), P at (0.000, 0.500, 0.000) and S at (0.000, 0.000, 0.500).

A crystal of MnCrPt2 relaxed with PBEsol. Source: Alexandria via LeMat-Bulk, functional meta-GGA SCAN.

For the magnetization, the calculation gives 2.03 μB/cell. The total energy is -714.43 eV/cell. The calculated density comes out at 14.54 g/cm³. The energy of formation comes out at -395 meV per atom.

The structure belongs to space group F-43m (No. 216); the cell edges are 6.100, 6.100 and 6.100 Å and the angles 90.00°, 90.00° and 90.00°. The asymmetric unit holds Mn at (0.000, 0.000, 0.000), Cr at (0.250, 0.250, 0.750), Pt at (0.000, 0.000, 0.500) and Pt at (0.250, 0.250, 0.250).

A crystal of MnCrPt2 relaxed with PBEsol. Source: Alexandria via LeMat-Bulk, functional meta-GGA SCAN.

For the magnetization, the calculation gives 1.09 μB/cell. The total energy is -179.72 eV/cell. The calculated density comes out at 14.98 g/cm³. The energy of formation comes out at -673 meV per atom.

The structure belongs to space group Pmmm (No. 47); the cell edges are 2.743, 3.705 and 5.422 Å and the angles 90.00°, 90.00° and 90.00°. The asymmetric unit holds Mn at (0.000, 0.000, 0.000), Cr at (0.000, 0.000, 0.500) and Pt at (0.500, 0.500, 0.253).

A crystal of MnCrPt2 relaxed with PBEsol. Source: Alexandria via LeMat-Bulk, functional meta-GGA SCAN.

For the magnetization, the calculation gives 1.70 μB/cell. The total energy is -533.48 eV/cell. The calculated density comes out at 15.33 g/cm³. The energy of formation comes out at -200 meV per atom.

The structure belongs to space group R3m (No. 160, hexagonal axes); the cell edges are 2.7155, 2.7155 and 25.2896 Å and the angles 90.00°, 90.00° and 120.00°. The asymmetric unit holds Mn at (0.0000, 0.0000, 0.0000), Cr at (0.0000, 0.0000, 0.7364), Pt at (0.0000, 0.0000, 0.2491) and Pt at (0.0000, 0.0000, 0.4869).

A crystal of MnCrPt2 relaxed with PBEsol. Source: Alexandria via LeMat-Bulk, functional meta-GGA SCAN.

For the magnetization, the calculation gives 0.58 μB/cell. The total energy is -178.25 eV/cell. The calculated density comes out at 15.65 g/cm³. The energy of formation comes out at -305 meV per atom.

The structure belongs to space group P4mm (No. 99); the cell edges are 2.648, 2.648 and 7.520 Å and the angles 90.00°, 90.00° and 90.00°. The asymmetric unit holds Mn at (0.000, 0.000, 0.000), Cr at (0.500, 0.500, 0.772), Pt at (0.000, 0.000, 0.533) and Pt at (0.500, 0.500, 0.245).

A crystal of MnCrRe2 relaxed with PBEsol. Source: Alexandria via LeMat-Bulk, functional meta-GGA SCAN.

For the magnetization, the calculation gives 3.17 μB/cell. The total energy is -178.41 eV/cell. The calculated density comes out at 15.47 g/cm³. The energy of formation comes out at 106 meV per atom.

The structure belongs to space group Pmmm (No. 47); the cell edges are 2.662, 3.628 and 5.328 Å and the angles 90.00°, 90.00° and 90.00°. The asymmetric unit holds Mn at (0.000, 0.000, 0.000), Cr at (0.000, 0.000, 0.500) and Re at (0.500, 0.500, 0.247).

A crystal of Mn2CrRe relaxed with PBEsol. Source: Alexandria via LeMat-Bulk, functional meta-GGA SCAN.

For the magnetization, the calculation gives 0.01 μB/cell. The total energy is -250.91 eV/cell. The calculated density comes out at 12.29 g/cm³. The energy of formation comes out at 135 meV per atom.

The structure belongs to space group Imm2 (No. 44); the cell edges are 2.875, 4.056 and 8.066 Å and the angles 90.00°, 90.00° and 90.00°. The asymmetric unit holds Mn at (0.000, 0.000, 0.000), Mn at (0.000, 0.500, 0.234), Cr at (0.000, 0.000, 0.509) and Re at (0.000, 0.500, 0.761).

A crystal of Mn2CrRe relaxed with PBEsol. Source: Alexandria via LeMat-Bulk, functional meta-GGA SCAN.

For the magnetization, the calculation gives 9.39 μB/cell. The total energy is -375.81 eV/cell. The calculated density comes out at 12.13 g/cm³. The energy of formation comes out at 181 meV per atom.

The structure belongs to space group R-3m (No. 166, hexagonal axes); the cell edges are 2.6026, 2.6026 and 24.3634 Å and the angles 90.00°, 90.00° and 120.00°. The asymmetric unit holds Mn at (0.0000, 0.0000, 0.2451), Cr at (0.0000, 0.0000, 0.5000) and Re at (0.0000, 0.0000, 0.0000).

A crystal of MnCrRe3 relaxed with PBEsol. Source: Alexandria via LeMat-Bulk, functional meta-GGA SCAN.

For the magnetization, the calculation gives 2.99 μB/cell. The total energy is -242.84 eV/cell. The calculated density comes out at 13.17 g/cm³. The energy of formation comes out at 1418 meV per atom.

The structure belongs to space group Pm-3m (No. 221); the cell edges are 4.378, 4.378 and 4.378 Å and the angles 90.00°, 90.00° and 90.00°. The asymmetric unit holds Mn at (0.000, 0.000, 0.000), Cr at (0.500, 0.500, 0.500) and Re at (0.000, 0.500, 0.500).

A crystal of MnCrRe relaxed with PBEsol. Source: Alexandria via LeMat-Bulk, functional meta-GGA SCAN.

Its energy relative to the lowest polymorph listed for this composition is 19.6 kJ per mole of atoms. For the magnetization, the calculation gives 1.34 μB/cell. The total energy is -107.07 eV/cell. The calculated density comes out at 13.12 g/cm³. The energy of formation comes out at 221 meV per atom.

The structure belongs to space group P3m1 (No. 156); the cell edges are 2.6270, 2.6270 and 6.2077 Å and the angles 90.00°, 90.00° and 120.00°. The asymmetric unit holds Mn at (0.0000, 0.0000, 0.0000), Cr at (0.3333, 0.6667, 0.3010) and Re at (0.6667, 0.3333, 0.6576).

A crystal of MnCrRe relaxed with PBEsol. Source: Alexandria via LeMat-Bulk, functional meta-GGA SCAN.

Its energy relative to the lowest polymorph listed for this composition is 0.0 kJ per mole of atoms. For the magnetization, the calculation gives 7.37 μB/cell. The total energy is -430.73 eV/cell. The calculated density comes out at 13.01 g/cm³. The energy of formation comes out at 18 meV per atom.

The structure belongs to space group Fmm2 (No. 42); the cell edges are 3.005, 4.161 and 11.968 Å and the angles 90.00°, 90.00° and 90.00°. The asymmetric unit holds Mn at (0.000, 0.000, 0.000), Cr at (0.000, 0.000, 0.346) and Re at (0.000, 0.000, 0.673).

A crystal of MnCrReSb2 relaxed with PBEsol. Source: Alexandria via LeMat-Bulk, functional meta-GGA SCAN.

The raw formation energy is 1298 meV/atom. For the magnetization, the calculation gives 0.76 μB/cell. The total energy is -175.77 eV/cell. The calculated density comes out at 9.60 g/cm³.

The structure belongs to space group P4/mmm (No. 123); the cell edges are 4.769, 4.769 and 4.083 Å and the angles 90.00°, 90.00° and 90.00°. The asymmetric unit holds Mn at (0.000, 0.000, 0.000), Cr at (0.000, 0.000, 0.500), Re at (0.500, 0.500, 0.500) and Sb at (0.000, 0.500, 0.000).

A crystal of TaMnCrRe2 relaxed with PBEsol. Source: Alexandria via LeMat-Bulk, functional meta-GGA SCAN.

For the magnetization, the calculation gives 0.00 μB/cell. The total energy is -239.60 eV/cell. The calculated density comes out at 14.04 g/cm³. The energy of formation comes out at 1163 meV per atom.

The structure belongs to space group P4/mmm (No. 123); the cell edges are 4.413, 4.413 and 4.011 Å and the angles 90.00°, 90.00° and 90.00°. The asymmetric unit holds Ta at (0.000, 0.000, 0.000), Mn at (0.500, 0.500, 0.000), Cr at (0.500, 0.500, 0.500) and Re at (0.000, 0.500, 0.500).

A crystal of Mn2CrRh relaxed with PBEsol. Source: Alexandria via LeMat-Bulk, functional meta-GGA SCAN.

For the magnetization, the calculation gives 19.91 μB/cell. The total energy is -361.90 eV/cell. The calculated density comes out at 8.75 g/cm³. The energy of formation comes out at -452 meV per atom.

The structure belongs to space group Fm-3m (No. 225); the cell edges are 5.857, 5.857 and 5.857 Å and the angles 90.00°, 90.00° and 90.00°. The asymmetric unit holds Mn at (0.250, 0.250, 0.250), Cr at (0.000, 0.000, 0.000) and Rh at (0.000, 0.000, 0.500).